This record from the Alexandria database describes a geometry-optimized RbCa2MoF8 structure. The functional is PBE+U.

Structure (CIF):
```
data_RbCa2MoF8
_cell_length_a 5.185
_cell_length_b 5.436
_cell_length_c 7.440
_cell_angle_alpha 90.00
_cell_angle_beta 90.00
_cell_angle_gamma 89.05
_space_group_name_H-M_alt 'P 1'
_space_group_IT_number 1
loop_
_space_group_symop_operation_xyz
'x,y,z'
loop_
_atom_site_label
_atom_site_type_symbol
_atom_site_fract_x
_atom_site_fract_y
_atom_site_fract_z
Rb1 Rb 0.000 0.000 0.500
Ca1 Ca 0.500 0.500 0.751
Ca2 Ca 0.500 0.500 0.249
Mo1 Mo 0.000 0.000 0.000
F1 F 0.184 0.780 0.195
F2 F 0.701 0.728 0.000
F3 F 0.816 0.220 0.195
F4 F 0.816 0.220 0.805
F5 F 0.299 0.272 0.000
F6 F 0.184 0.780 0.805
F7 F 0.626 0.696 0.500
F8 F 0.374 0.304 0.500
```

## Properties
Uncorrected energy   -5.510 eV/atom
N(E_F)   0.00 states/eV/f.u.